(1)
VASP calculation (PBE-GGA) on K2YNi after structural relaxation.

Values from the calculation:
**Distance to the lowest polymorph of the same formula**: 0 meV per atom
**DOS(E_F)**: 3.3 states/eV per cell
**V**: 158 Å³ per cell
**Calculated formation energy**: 162 meV per atom
**Total DFT energy (no corrections)**: -3.45 eV/atom

Cell: 3.764 3.951 10.817 Å, 79.29 90.00 90.00°
Sites, in units of the cell vectors:
Ni 0.000 0.257 0.609
K 0.000 0.092 0.935
Y 0.500 0.744 0.636
K 0.500 0.407 0.320

(2)
VASP calculation (PBE-GGA) on PuPdPb3 after structural relaxation.

Values from the calculation:
**DOS(E_F)**: 25.2 states/eV per cell
**V**: 272 Å³ per cell
**Calculated formation energy**: -72 meV per atom
**Total DFT energy (no corrections)**: -6.20 eV/atom

Cell: 6.481 6.481 6.481 Å, 90.63 90.63 90.63°
Each line ends with the local moment (μB).
Sites, in units of the cell vectors:
Pb 0.824 0.454 0.083  0.02
Pu 0.454 0.454 0.454  5.39
Pd 0.204 0.204 0.204  -0.04
Pb 0.324 0.583 0.954  0.02
Pu 0.954 0.954 0.954  5.39
Pb 0.454 0.083 0.824  0.02
Pb 0.083 0.824 0.454  0.02
Pd 0.704 0.704 0.704  -0.04
Pb 0.954 0.324 0.583  0.02
Pb 0.583 0.954 0.324  0.02

(3)
VASP calculation (PBE-GGA) on TbNp2Si2Pt7 after structural relaxation.

Values from the calculation:
**E_form (uncorrected)**: -0.83 eV/atom
**DOS(E_F)**: 21.5 states/eV per cell
**V**: 225 Å³ per cell
**Total DFT energy (no corrections)**: -7.80 eV/atom

Cell: 4.047 4.047 13.878 Å, 84.11 84.11 89.29°
Each line ends with the local moment (μB).
Sites, in units of the cell vectors:
Pt 0.443 0.942 0.161  0.05
Pt 0.058 0.557 0.839  0.05
Tb 0.000 0.000 0.000  0.00
Si 0.591 0.591 0.745  -0.01
Np 0.886 0.886 0.360  3.80
Pt 0.942 0.443 0.161  0.05
Np 0.114 0.114 0.640  3.80
Pt 0.631 0.631 0.573  -0.07
Si 0.409 0.409 0.255  -0.01
Pt 0.369 0.369 0.427  -0.07
Pt 0.557 0.058 0.839  0.05
Pt 0.500 0.500 0.000  0.02

(4)
VASP calculation (PBE-GGA) on Pt2RhCl after structural relaxation.

Values from the calculation:
**E_form (uncorrected)**: 0.29 eV/atom
**Distance to the lowest polymorph of the same formula**: 95 meV per atom
**DOS(E_F)**: 3.9 states/eV per cell
**V**: 64 Å³ per cell
**Total DFT energy (no corrections)**: -5.03 eV/atom

Cell: 2.855 2.855 9.241 Å, 90.00 90.00 121.65°
Sites, in units of the cell vectors:
Pt 0.000 0.000 0.004
Rh 0.000 0.000 0.509
Pt 0.500 0.500 0.263
Cl 0.500 0.500 0.724

(5)
VASP calculation (PBE-GGA) on PmZrRuO6 after structural relaxation.

Values from the calculation:
**E_form (uncorrected)**: -2.31 eV/atom
**DOS(E_F)**: 0.5 states/eV per cell
**V**: 245 Å³ per cell
**Total DFT energy (no corrections)**: -8.12 eV/atom

Cell: 4.974 4.974 9.912 Å, 90.00 90.00 90.00°
Each line ends with the local moment (μB).
Sites, in units of the cell vectors:
O 0.217 0.783 0.817  0.12
O 0.801 0.199 0.190  0.14
Ru 0.500 0.500 0.833  1.94
Pm 0.500 0.500 0.504  0.03
O 0.325 0.325 0.990  0.10
O 0.783 0.217 0.817  0.12
O 0.199 0.801 0.190  0.14
O 0.175 0.825 0.490  0.10
O 0.717 0.717 0.317  0.12
Zr 0.500 0.500 0.168  0.05
O 0.301 0.301 0.690  0.14
Pm 0.000 0.000 0.004  0.03
Ru 0.000 0.000 0.333  1.94
O 0.675 0.675 0.990  0.10
O 0.825 0.175 0.490  0.10
O 0.699 0.699 0.690  0.14
O 0.283 0.283 0.317  0.12
Zr 0.000 0.000 0.668  0.05

(6)
VASP calculation (PBE-GGA) on Sr2AgB2S6 after structural relaxation.

Values from the calculation:
**E_form (uncorrected)**: -0.85 eV/atom
**DOS(E_F)**: 5.7 states/eV per cell
**V**: 252 Å³ per cell
**Total DFT energy (no corrections)**: -4.88 eV/atom

Cell: 6.395 6.395 8.012 Å, 66.48 66.48 60.00°
Sites, in units of the cell vectors:
B 0.578 0.578 0.265
B 0.422 0.422 0.735
S 0.249 0.739 0.272
S 0.739 0.739 0.272
Sr 0.786 0.786 0.643
S 0.261 0.751 0.728
Ag 0.000 0.000 0.000
Sr 0.214 0.214 0.357
S 0.751 0.261 0.728
S 0.739 0.249 0.272
S 0.261 0.261 0.728

(7)
VASP calculation (PBE-GGA) on ScTl2Ru after structural relaxation.

Values from the calculation:
**Distance to the lowest polymorph of the same formula**: 0 meV per atom
**DOS(E_F)**: 2.4 states/eV per cell
**V**: 90 Å³ per cell
**Calculated formation energy**: -51 meV per atom
**Total DFT energy (no corrections)**: -5.14 eV/atom

Cell: 3.289 3.321 9.637 Å, 58.51 90.00 90.00°
Sites, in units of the cell vectors:
Tl 0.000 0.850 0.970
Ru 0.000 0.524 0.527
Tl 0.500 0.356 0.308
Sc 0.500 0.771 0.694

(8)
VASP calculation (PBE-GGA) on Pm4DyP5 after structural relaxation.

Values from the calculation:
**DOS(E_F)**: 0.5 states/eV per cell
**V**: 245 Å³ per cell
**Calculated formation energy**: -1570 meV per atom
**Total DFT energy (no corrections)**: -6.64 eV/atom

Cell: 5.811 7.116 7.116 Å, 80.40 65.90 65.90°
Sites, in units of the cell vectors:
Pm 0.201 0.201 0.399
Dy 0.001 0.000 0.000
Pm 0.600 0.601 0.201
P 0.100 0.605 0.198
P 0.902 0.395 0.802
Pm 0.801 0.799 0.601
P 0.501 0.000 0.000
Pm 0.402 0.399 0.799
P 0.297 0.802 0.605
P 0.705 0.198 0.395